No. 1
This record from Alexandria describes ErTmCo2 after structural relaxation. The functional is PBE-GGA.

* magnetization: 0.034 μB per atom
* V: 19.3 Å³ per atom
* formation energy: -0.2511 eV/atom
* relative energy among the computed polymorphs: 0.000 eV/atom

a b c (Å): 3.836 5.450 7.390
angles (deg): 90.00 90.00 90.00
Space group Pmc2_1 (No. 26)
Asymmetric unit:
1 Er 0.000 0.134 0.000 [2 per cell]
2 Tm 0.500 0.366 0.645 [2 per cell]
3 Co 0.000 0.353 0.350 [2 per cell]
4 Co 0.500 0.150 0.295 [2 per cell]

=====

No. 2
This record from Alexandria describes CaTlPdSeF after structural relaxation. The functional is PBE-GGA.

* magnetization: 0.000 μB per atom
* V: 24.8 Å³ per atom
* relative energy among the computed polymorphs: 0.000 eV/atom

a b c (Å): 8.100 3.953 8.140
angles (deg): 90.00 107.66 90.00
Space group Cm (No. 8)
Asymmetric unit:
1 Ca 0.000 0.000 0.000 [2 per cell]
2 Tl 0.126 0.000 0.529 [2 per cell]
3 Pd 0.203 0.500 0.292 [2 per cell]
4 Se 0.379 0.000 0.237 [2 per cell]
5 F 0.002 0.500 0.869 [2 per cell]

=====

No. 3
This record from Alexandria describes Dy7Y2Er3 after structural relaxation. The functional is PBE-GGA.

* magnetization: 0.000 μB per atom
* V: 31.7 Å³ per atom
* formation energy: 0.0918 eV/atom
* relative energy among the computed polymorphs: 0.014 eV/atom

a b c (Å): 5.749 3.559 18.620
angles (deg): 90.00 93.58 90.00
Space group P2/m (No. 10)
Asymmetric unit:
1 Dy 0.000 0.000 0.000 [1 per cell]
2 Dy 0.182 0.500 0.179 [2 per cell]
3 Dy 0.258 0.500 0.536 [2 per cell]
4 Dy 0.321 0.000 0.857 [2 per cell]
5 Y 0.295 0.500 0.705 [2 per cell]
6 Er 0.218 0.000 0.369 [2 per cell]
7 Er 0.500 0.500 0.000 [1 per cell]

=====

No. 4
This record from Alexandria describes Ta2NbS after structural relaxation. The functional is PBE-GGA.

* raw total energy: -9.116 eV per atom
* magnetization: 0.000 μB per atom
* V: 18.1 Å³ per atom

a b c (Å): 3.879 3.879 19.239
angles (deg): 90.00 90.00 90.00
Space group I-42d (No. 122)
Asymmetric unit:
1 Ta 0.243 0.250 0.125 [8 per cell]
2 Nb 0.000 0.000 0.500 [4 per cell]
3 S 0.000 0.000 0.000 [4 per cell]

=====

No. 5
This record from Alexandria describes TaC2S after structural relaxation. The functional is PBE-GGA.

* raw total energy: -7.517 eV per atom
* magnetization: 0.000 μB per atom
* V: 12.0 Å³ per atom

a b c (Å): 4.768 4.768 8.457
angles (deg): 90.00 90.00 90.00
Space group I-42d (No. 122)
Asymmetric unit:
1 Ta 0.000 0.000 0.000 [4 per cell]
2 C 0.197 0.250 0.625 [8 per cell]
3 S 0.000 0.000 0.500 [4 per cell]

=====

No. 6
This record from Alexandria describes InIrI after structural relaxation. The functional is PBE-GGA.

* magnetization: 0.000 μB per atom
* V: 25.1 Å³ per atom
* relative energy among the computed polymorphs: 0.138 eV/atom

a b c (Å): 6.472 7.723 6.148
angles (deg): 90.00 101.44 90.00
Space group C2/m (No. 12)
Asymmetric unit:
1 In 0.000 0.194 0.000 [4 per cell]
2 Ir 0.132 0.500 0.842 [4 per cell]
3 I 0.242 0.500 0.446 [4 per cell]

=====

No. 7
This record from Alexandria describes Si2SbIr after structural relaxation. The functional is PBE-GGA.

* raw total energy: -5.545 eV per atom
* magnetization: 0.000 μB per atom
* V: 16.9 Å³ per atom

a b c (Å): 4.276 4.276 7.392
angles (deg): 90.00 90.00 90.00
Space group I4/mmm (No. 139)
Asymmetric unit:
1 Si 0.000 0.500 0.250 [4 per cell]
2 Sb 0.000 0.000 0.000 [2 per cell]
3 Ir 0.000 0.000 0.500 [2 per cell]

=====

No. 8
This record from Alexandria describes AcScIr2O8 after structural relaxation. The functional is PBE-GGA.

* raw total energy: -7.120 eV per atom
* magnetization: 0.000 μB per atom
* V: 17.5 Å³ per atom

a b c (Å): 5.8296 5.8296 7.1362
angles (deg): 90.00 90.00 120.00
Space group P-3m1 (No. 164)
Asymmetric unit:
1 Ac 0.0000 0.0000 0.0000 [1 per cell]
2 Sc 0.0000 0.0000 0.5000 [1 per cell]
3 Ir 0.3333 0.6667 0.2521 [2 per cell]
4 O 0.1515 0.3031 0.2985 [6 per cell]
5 O 0.3333 0.6667 0.9887 [2 per cell]

=====

No. 9
This record from Alexandria describes Rb3CrAg2Cl9 after structural relaxation. The functional is PBE-GGA.

* raw total energy: -3.552 eV per atom
* magnetization: 0.242 μB per atom
* V: 27.1 Å³ per atom

a b c (Å): 7.2470 7.2470 8.9225
angles (deg): 90.00 90.00 120.00
Space group P-3m1 (No. 164)
Asymmetric unit:
1 Rb 0.0000 0.0000 0.0000 [1 per cell]
2 Rb 0.3333 0.6667 0.6743 [2 per cell]
3 Cr 0.0000 0.0000 0.5000 [1 per cell]
4 Ag 0.3333 0.6667 0.1680 [2 per cell]
5 Cl 0.0000 0.5000 0.0000 [3 per cell]
6 Cl 0.1553 0.3107 0.3468 [6 per cell]

=====

No. 10
This record from Alexandria describes BaCaCo2 after structural relaxation. The functional is PBE-GGA.

* magnetization: 0.583 μB per atom
* V: 28.4 Å³ per atom
* formation energy: 0.1351 eV/atom
* relative energy among the computed polymorphs: 0.000 eV/atom

a b c (Å): 6.954 4.016 8.466
angles (deg): 90.00 106.15 90.00
Space group Cm (No. 8)
Asymmetric unit:
1 Ba 0.000 0.000 0.000 [2 per cell]
2 Ca 0.174 0.000 0.514 [2 per cell]
3 Co 0.262 0.500 0.280 [2 per cell]
4 Co 0.428 0.000 0.280 [2 per cell]

=====

No. 11
This record from Alexandria describes Ba2HfS after structural relaxation. The functional is PBE-GGA.

* raw total energy: -4.817 eV per atom
* magnetization: 0.000 μB per atom
* V: 41.1 Å³ per atom

a b c (Å): 11.618 11.618 4.876
angles (deg): 90.00 90.00 90.00
Space group I-42d (No. 122)
Asymmetric unit:
1 Ba 0.097 0.750 0.125 [8 per cell]
2 Hf 0.000 0.000 0.500 [4 per cell]
3 S 0.000 0.000 0.000 [4 per cell]

=====

No. 12
This record from Alexandria describes Si3SBr after structural relaxation. The functional is PBE-GGA.

* magnetization: 0.000 μB per atom
* V: 25.6 Å³ per atom
* relative energy among the computed polymorphs: 0.643 eV/atom

a b c (Å): 5.040 5.040 5.040
angles (deg): 90.00 90.00 90.00
Space group Pm-3m (No. 221)
Asymmetric unit:
1 Si 0.000 0.000 0.500 [3 per cell]
2 S 0.500 0.500 0.500 [1 per cell]
3 Br 0.000 0.000 0.000 [1 per cell]

=====

- Among the records above, which one has the highest V?
  Ba2HfS

=====

Repeat the ninth record exactly.
This record from Alexandria describes Rb3CrAg2Cl9 after structural relaxation. The functional is PBE-GGA.

* raw total energy: -3.552 eV per atom
* magnetization: 0.242 μB per atom
* V: 27.1 Å³ per atom

a b c (Å): 7.2470 7.2470 8.9225
angles (deg): 90.00 90.00 120.00
Space group P-3m1 (No. 164)
Asymmetric unit:
1 Rb 0.0000 0.0000 0.0000 [1 per cell]
2 Rb 0.3333 0.6667 0.6743 [2 per cell]
3 Cr 0.0000 0.0000 0.5000 [1 per cell]
4 Ag 0.3333 0.6667 0.1680 [2 per cell]
5 Cl 0.0000 0.5000 0.0000 [3 per cell]
6 Cl 0.1553 0.3107 0.3468 [6 per cell]